Record 1
CuSiAg2 | PBE | relaxed

Cell: 4.4715 4.4715 4.4715 Å, 60.00 60.00 60.00°
Element x y z (fractional)
Cu 0.0000 0.0000 0.0000
Si 0.7500 0.7500 0.7500
Ag 0.2500 0.2500 0.2500
Ag 0.5000 0.5000 0.5000

Values from the calculation:
The formation energy (no corrections) comes out at 0.90 eV/f.u. The space group is No. 216.

***

Record 2
TmTiAu2 | PBE | relaxed

Cell: 3.4151 3.4151 6.8220 Å, 90.00 90.00 90.00°
Element x y z (fractional)
Tm 0.0000 0.0000 0.0000
Ti 0.0000 0.0000 0.5000
Au 0.5000 0.5000 0.2743
Au 0.5000 0.5000 0.7257

Values from the calculation:
The space group is No. 123. The formation energy is -567 meV/atom.

***

Record 3
BaGa2Au | PBE | relaxed

Cell: 9.7937 9.7937 9.7937 Å, 149.78 149.78 43.27°
Element x y z (fractional)
Ba 0.0000 0.0000 0.0000
Ba 0.7500 0.2500 0.5000
Ga 0.3292 0.6250 0.2042
Ga 0.3750 0.5792 0.7042
Ga 0.4208 0.1250 0.7958
Ga 0.8750 0.6708 0.2958
Au 0.2500 0.7500 0.5000
Au 0.5000 0.5000 0.0000

Values from the calculation:
The space group is No. 122. The formation energy is -387 meV/atom.

***

Record 4
Th5Au | PBE | relaxed

Cell: 9.0181 9.0181 3.6052 Å, 90.00 90.00 142.05°
Element x y z (fractional)
Th 0.0000 0.0000 0.0000
Th 0.1763 0.8237 0.5000
Th 0.3521 0.6479 0.0000
Th 0.6479 0.3521 0.0000
Th 0.8237 0.1763 0.5000
Au 0.5000 0.5000 0.5000

Values from the calculation:
The space group is No. 65. The formation energy is -134 meV/atom.

***

Record 5
Na2DyZr2Te6 | PBE | relaxed

Cell: 7.2361 7.2361 8.1501 Å, 98.32 98.32 120.26°
Element x y z (fractional)
Na 0.1611 0.8389 0.0000
Na 0.8389 0.1611 0.0000
Dy 0.0000 0.0000 0.5000
Zr 0.3321 0.6679 0.5000
Zr 0.6679 0.3321 0.5000
Te 0.0763 0.4197 0.7273
Te 0.2755 0.2755 0.2743
Te 0.4197 0.0763 0.7273
Te 0.5803 0.9237 0.2727
Te 0.7245 0.7245 0.7257
Te 0.9237 0.5803 0.2727

Values from the calculation:
The formation energy (no corrections) comes out at -11.38 eV/f.u. The space group is No. 12.

***

Record 6
Zr2CdAg | PBE | relaxed

Cell: 3.1915 3.1915 8.4086 Å, 90.00 90.00 90.00°
Element x y z (fractional)
Zr 0.0000 0.0000 0.0000
Zr 0.5000 0.5000 0.2591
Cd 0.5000 0.5000 0.7291
Ag 0.0000 0.0000 0.5036

Values from the calculation:
The space group is No. 99. The formation energy is -115 meV/atom.

***

Record 7
CeNp2PdSe4 | PBE | relaxed

Cell: 6.1288 6.1288 6.1288 Å, 108.94 108.94 110.54°
Element x y z (fractional)
Ce 0.0000 0.0000 0.0000
Np 0.0000 0.5000 0.5000
Np 0.5000 0.0000 0.5000
Pd 0.5000 0.5000 0.0000
Se 0.0777 0.0777 0.5730
Se 0.4953 0.9223 0.0000
Se 0.5047 0.5047 0.4270
Se 0.9223 0.4953 0.0000

Values from the calculation:
The formation energy (no corrections) comes out at -8.66 eV/f.u. The space group is No. 121.

***

Record 8
Fe4WCl | PBE | relaxed

Cell: 4.8328 4.8328 4.8328 Å, 60.00 60.00 60.00°
Element x y z (fractional)
Fe 0.1242 0.1242 0.1242
Fe 0.1242 0.1242 0.6273
Fe 0.1242 0.6273 0.1242
Fe 0.6273 0.1242 0.1242
W 0.7500 0.7500 0.7500
Cl 0.5000 0.5000 0.5000

Values from the calculation:
The formation energy (no corrections) comes out at 4.06 eV/f.u. The space group is No. 216.

***

Record 9
SnAuBr2O | PBE | relaxed

Cell: 5.0507 5.0507 5.8695 Å, 90.00 90.00 90.00°
Element x y z (fractional)
Sn 0.0000 0.0000 0.0000
Au 0.0000 0.0000 0.5000
Br 0.0000 0.5000 0.5000
Br 0.5000 0.0000 0.5000
O 0.5000 0.5000 0.0000

Values from the calculation:
The formation energy (no corrections) comes out at 3.06 eV/f.u. The space group is No. 123.

***

Record 10
YCrBr | PBE | relaxed

Cell: 6.9153 6.9153 6.9153 Å, 150.65 150.65 41.99°
Element x y z (fractional)
Y 0.0000 0.0000 0.0000
Cr 0.3530 0.3530 0.0000
Br 0.6434 0.6434 0.0000

Values from the calculation:
The formation energy (no corrections) comes out at -0.24 eV/f.u. The space group is No. 107.

***

Record 11
LiHfNO | PBE | relaxed

Cell: 3.6359 3.6359 4.2116 Å, 90.00 90.00 120.00°
Element x y z (fractional)
Li 0.0000 0.0000 0.0000
Hf 0.6667 0.3333 0.5000
N 0.0000 0.0000 0.5000
O 0.6667 0.3333 0.0000

Values from the calculation:
The formation energy (no corrections) comes out at -8.55 eV/f.u. The space group is No. 187.

***

Record 12
SrB2Pd | PBE | relaxed

Cell: 4.3732 4.3732 4.3732 Å, 60.00 60.00 60.00°
Element x y z (fractional)
Sr 0.0000 0.0000 0.0000
B 0.2500 0.2500 0.2500
B 0.7500 0.7500 0.7500
Pd 0.5000 0.5000 0.5000

Values from the calculation:
The space group is No. 225. The formation energy is 876 meV/atom.

***

Quick rundown of DOS at the Fermi energy, same order as above: 0.395 0.787 0.807 1.412 0.418 0.472 1.951 0.866 2.239 0.459 0.000 0.345 states/eV per atom